No. 1
# Hf2SiSn GGA-PBE optimized geometry
data_Hf2SiSn
_cell_length_a 7.533
_cell_length_b 7.533
_cell_length_c 6.017
_cell_angle_alpha 90.00
_cell_angle_beta 90.00
_cell_angle_gamma 90.00
_symmetry_space_group_name_H-M 'I -4 2 d'
_symmetry_Int_Tables_number 122
_symmetry_space_group_name_Hall 'I -4 2bw'
loop_
_atom_site_label
_atom_site_fract_x
_atom_site_fract_y
_atom_site_fract_z
_atom_site_occupancy
Hf1 0.225 0.250 0.125 1
Si1 0.000 0.000 0.000 1
Sn1 0.000 0.000 0.500 1
# D(E_F)	1.4	states/eV/cell
# formation energy (no corrections)	-0.168	eV per atom
# offset from the most stable computed form	0.0	meV per atom

No. 2
# MnIn2W GGA-PBE optimized geometry
data_MnIn2W
_cell_length_a 3.011
_cell_length_b 3.011
_cell_length_c 8.208
_cell_angle_alpha 90.00
_cell_angle_beta 90.00
_cell_angle_gamma 90.00
_symmetry_space_group_name_H-M 'P 4 m m'
_symmetry_Int_Tables_number 99
_symmetry_space_group_name_Hall 'P 4 -2'
loop_
_atom_site_label
_atom_site_fract_x
_atom_site_fract_y
_atom_site_fract_z
_atom_site_occupancy
Mn1 0.000 0.000 0.000 1
In1 0.000 0.000 0.420 1
In2 0.500 0.500 0.771 1
W1 0.500 0.500 0.159 1
# D(E_F)	3.8	states/eV/cell
# ΔE_f	0.322	eV/atom
# offset from the most stable computed form	0.0	meV per atom

No. 3
# Nb5Mo4Au GGA-PBE optimized geometry
data_Nb5Mo4Au
_cell_length_a 3.262
_cell_length_b 3.262
_cell_length_c 16.189
_cell_angle_alpha 90.00
_cell_angle_beta 90.00
_cell_angle_gamma 90.00
_symmetry_space_group_name_H-M 'P 4/m m m'
_symmetry_Int_Tables_number 123
_symmetry_space_group_name_Hall '-P 4 2'
loop_
_atom_site_label
_atom_site_fract_x
_atom_site_fract_y
_atom_site_fract_z
_atom_site_occupancy
Nb1 0.000 0.000 0.000 1
Nb2 0.000 0.000 0.198 1
Nb3 0.000 0.000 0.391 1
Mo1 0.500 0.500 0.099 1
Mo2 0.500 0.500 0.299 1
Au1 0.500 0.500 0.500 1
# D(E_F)	9.3	states/eV/cell
# ΔE_f	-0.095	eV/atom

No. 4
# La2TcRhN GGA-PBE optimized geometry
data_La2TcRhN
_cell_length_a 5.182
_cell_length_b 5.182
_cell_length_c 3.866
_cell_angle_alpha 90.00
_cell_angle_beta 90.00
_cell_angle_gamma 90.00
_symmetry_space_group_name_H-M 'P 4/m m m'
_symmetry_Int_Tables_number 123
_symmetry_space_group_name_Hall '-P 4 2'
loop_
_atom_site_label
_atom_site_fract_x
_atom_site_fract_y
_atom_site_fract_z
_atom_site_occupancy
La1 0.000 0.500 0.000 1
Tc1 0.000 0.000 0.500 1
Rh1 0.500 0.500 0.500 1
N1 0.000 0.000 0.000 1
# D(E_F)	2.1	states/eV/cell
# formation energy (no corrections)	-0.622	eV per atom

No. 5
# Ti2PtAu GGA-PBE optimized geometry
data_Ti2PtAu
_cell_length_a 10.911
_cell_length_b 4.381
_cell_length_c 5.581
_cell_angle_alpha 90.00
_cell_angle_beta 90.00
_cell_angle_gamma 90.00
_symmetry_space_group_name_H-M 'P n m a'
_symmetry_Int_Tables_number 62
_symmetry_space_group_name_Hall '-P 2ac 2n'
loop_
_atom_site_label
_atom_site_fract_x
_atom_site_fract_y
_atom_site_fract_z
_atom_site_occupancy
Ti1 0.060 0.250 0.137 1
Ti2 0.194 0.750 0.398 1
Pt1 0.175 0.750 0.911 1
Au1 0.076 0.250 0.629 1
# D(E_F)	15.1	states/eV/cell
# ΔE_f	-0.617	eV/atom

No. 6
# MgRh3 GGA-PBE optimized geometry
data_MgRh3
_cell_length_a 2.801
_cell_length_b 4.447
_cell_length_c 4.699
_cell_angle_alpha 90.00
_cell_angle_beta 90.00
_cell_angle_gamma 90.00
_symmetry_space_group_name_H-M 'P m m 2'
_symmetry_Int_Tables_number 25
_symmetry_space_group_name_Hall 'P 2 -2'
loop_
_atom_site_label
_atom_site_fract_x
_atom_site_fract_y
_atom_site_fract_z
_atom_site_occupancy
Mg1 0.000 0.000 0.000 1
Rh1 0.000 0.500 0.354 1
Rh2 0.500 0.000 0.501 1
Rh3 0.500 0.500 0.853 1
# D(E_F)	4.3	states/eV/cell
# ΔE_f	-0.199	eV/atom

No. 7
# YReHg2 GGA-PBE optimized geometry
data_YReHg2
_cell_length_a 5.997
_cell_length_b 8.559
_cell_length_c 3.209
_cell_angle_alpha 90.00
_cell_angle_beta 90.00
_cell_angle_gamma 90.00
_symmetry_space_group_name_H-M 'C m m m'
_symmetry_Int_Tables_number 65
_symmetry_space_group_name_Hall '-C 2 2'
loop_
_atom_site_label
_atom_site_fract_x
_atom_site_fract_y
_atom_site_fract_z
_atom_site_occupancy
Y1 0.000 0.000 0.000 1
Re1 0.000 0.500 0.000 1
Hg1 0.250 0.250 0.500 1
# D(E_F)	4.9	states/eV/cell
# ΔE_f	0.445	eV/atom
# offset from the most stable computed form	160.8	meV per atom

No. 8
# Pr12Y3Ho GGA-PBE optimized geometry
data_Pr12Y3Ho
_cell_length_a 5.201
_cell_length_b 5.201
_cell_length_c 20.743
_cell_angle_alpha 90.00
_cell_angle_beta 90.00
_cell_angle_gamma 90.00
_symmetry_space_group_name_H-M 'P 4/m m m'
_symmetry_Int_Tables_number 123
_symmetry_space_group_name_Hall '-P 4 2'
loop_
_atom_site_label
_atom_site_fract_x
_atom_site_fract_y
_atom_site_fract_z
_atom_site_occupancy
Pr1 0.000 0.000 0.000 1
Pr2 0.000 0.000 0.249 1
Pr3 0.000 0.000 0.500 1
Pr4 0.000 0.500 0.124 1
Pr5 0.000 0.500 0.375 1
Y1 0.500 0.500 0.250 1
Y2 0.500 0.500 0.500 1
Ho1 0.500 0.500 0.000 1
# D(E_F)	24.2	states/eV/cell
# ΔE_f	0.010	eV/atom

No. 9
# BaCdBr2 GGA-PBE optimized geometry
data_BaCdBr2
_cell_length_a 5.415
_cell_length_b 5.415
_cell_length_c 4.519
_cell_angle_alpha 90.00
_cell_angle_beta 90.00
_cell_angle_gamma 90.00
_symmetry_space_group_name_H-M 'P 4/m m m'
_symmetry_Int_Tables_number 123
_symmetry_space_group_name_Hall '-P 4 2'
loop_
_atom_site_label
_atom_site_fract_x
_atom_site_fract_y
_atom_site_fract_z
_atom_site_occupancy
Ba1 0.000 0.000 0.000 1
Cd1 0.500 0.500 0.000 1
Br1 0.000 0.500 0.500 1
# formation energy (no corrections)	-1.314	eV per atom
# offset from the most stable computed form	120.6	meV per atom

No. 10
# Tl2TcAg GGA-PBE optimized geometry
data_Tl2TcAg
_cell_length_a 3.1690
_cell_length_b 3.1690
_cell_length_c 28.5579
_cell_angle_alpha 90.00
_cell_angle_beta 90.00
_cell_angle_gamma 120.00
_symmetry_space_group_name_H-M 'R -3 m'
_symmetry_Int_Tables_number 166
_symmetry_space_group_name_Hall '-R 3 2"'
loop_
_atom_site_label
_atom_site_fract_x
_atom_site_fract_y
_atom_site_fract_z
_atom_site_occupancy
Tl1 0.0000 0.0000 0.2458 1
Tc1 0.0000 0.0000 0.5000 1
Ag1 0.0000 0.0000 0.0000 1
# D(E_F)	7.2	states/eV/cell
# ΔE_f	0.577	eV/atom
# offset from the most stable computed form	44.5	meV per atom

No. 11
# BaAc4Os GGA-PBE optimized geometry
data_BaAc4Os
_cell_length_a 19.408
_cell_length_b 8.278
_cell_length_c 6.876
_cell_angle_alpha 90.00
_cell_angle_beta 107.24
_cell_angle_gamma 90.00
_symmetry_space_group_name_H-M 'C 1 2/m 1'
_symmetry_Int_Tables_number 12
_symmetry_space_group_name_Hall '-C 2y'
loop_
_atom_site_label
_atom_site_fract_x
_atom_site_fract_y
_atom_site_fract_z
_atom_site_occupancy
Ba1 0.194 0.000 0.173 1
Ac1 0.000 0.266 0.000 1
Ac2 0.108 0.252 0.614 1
Ac3 0.180 0.500 0.213 1
Os1 0.036 0.500 0.352 1
# D(E_F)	27.2	states/eV/cell
# ΔE_f	0.034	eV/atom

No. 12
# Pm2Nd6Sm5 GGA-PBE optimized geometry
data_Pm2Nd6Sm5
_cell_length_a 11.914
_cell_length_b 20.871
_cell_length_c 3.669
_cell_angle_alpha 90.00
_cell_angle_beta 90.00
_cell_angle_gamma 90.00
_symmetry_space_group_name_H-M 'P b a m'
_symmetry_Int_Tables_number 55
_symmetry_space_group_name_Hall '-P 2 2ab'
loop_
_atom_site_label
_atom_site_fract_x
_atom_site_fract_y
_atom_site_fract_z
_atom_site_occupancy
Pm1 0.171 0.215 0.000 1
Nd1 0.061 0.922 0.000 1
Nd2 0.079 0.634 0.000 1
Nd3 0.178 0.368 0.500 1
Sm1 0.000 0.500 0.500 1
Sm2 0.087 0.777 0.500 1
Sm3 0.199 0.056 0.500 1
# D(E_F)	30.5	states/eV/cell
# ΔE_f	0.093	eV/atom

No. 13
# Rb2CdHgAu GGA-PBE optimized geometry
data_Rb2CdHgAu
_cell_length_a 6.582
_cell_length_b 6.582
_cell_length_c 5.428
_cell_angle_alpha 90.00
_cell_angle_beta 90.00
_cell_angle_gamma 90.00
_symmetry_space_group_name_H-M 'P 4/m m m'
_symmetry_Int_Tables_number 123
_symmetry_space_group_name_Hall '-P 4 2'
loop_
_atom_site_label
_atom_site_fract_x
_atom_site_fract_y
_atom_site_fract_z
_atom_site_occupancy
Rb1 0.000 0.500 0.000 1
Cd1 0.000 0.000 0.500 1
Hg1 0.500 0.500 0.500 1
Au1 0.500 0.500 0.000 1
# D(E_F)	2.9	states/eV/cell
# ΔE_f	-0.082	eV/atom
# offset from the most stable computed form	104.5	meV per atom

No. 14
# SrYGaO4 GGA-PBE optimized geometry
data_SrYGaO4
_cell_length_a 5.725
_cell_length_b 5.818
_cell_length_c 6.863
_cell_angle_alpha 90.00
_cell_angle_beta 108.18
_cell_angle_gamma 90.00
_symmetry_space_group_name_H-M 'P 1 21/m 1'
_symmetry_Int_Tables_number 11
_symmetry_space_group_name_Hall '-P 2yb'
loop_
_atom_site_label
_atom_site_fract_x
_atom_site_fract_y
_atom_site_fract_z
_atom_site_occupancy
Sr1 0.219 0.250 0.437 1
Y1 0.309 0.250 0.962 1
Ga1 0.234 0.750 0.177 1
O1 0.017 0.750 0.915 1
O2 0.029 0.750 0.337 1
O3 0.471 0.514 0.214 1
# D(E_F)	0.0	states/eV/cell
# formation energy (no corrections)	-2.678	eV per atom

No. 15
# CeNi4Pd GGA-PBE optimized geometry
data_CeNi4Pd
_cell_length_a 6.965
_cell_length_b 6.965
_cell_length_c 6.965
_cell_angle_alpha 90.00
_cell_angle_beta 90.00
_cell_angle_gamma 90.00
_symmetry_space_group_name_H-M 'F -4 3 m'
_symmetry_Int_Tables_number 216
_symmetry_space_group_name_Hall 'F -4 2 3'
loop_
_atom_site_label
_atom_site_fract_x
_atom_site_fract_y
_atom_site_fract_z
_atom_site_occupancy
Ce1 0.000 0.000 0.000 1
Ni1 0.125 0.125 0.375 1
Pd1 0.250 0.250 0.750 1
# D(E_F)	33.7	states/eV/cell
# ΔE_f	-0.366	eV/atom

No. 16
# Y4InRu GGA-PBE optimized geometry
data_Y4InRu
_cell_length_a 8.582
_cell_length_b 8.582
_cell_length_c 8.582
_cell_angle_alpha 90.00
_cell_angle_beta 90.00
_cell_angle_gamma 90.00
_symmetry_space_group_name_H-M 'F -4 3 m'
_symmetry_Int_Tables_number 216
_symmetry_space_group_name_Hall 'F -4 2 3'
loop_
_atom_site_label
_atom_site_fract_x
_atom_site_fract_y
_atom_site_fract_z
_atom_site_occupancy
Y1 0.124 0.124 0.376 1
In1 0.000 0.000 0.000 1
Ru1 0.250 0.250 0.750 1
# D(E_F)	30.4	states/eV/cell
# ΔE_f	0.576	eV/atom
# offset from the most stable computed form	972.9	meV per atom

No. 17
# Y5Re GGA-PBE optimized geometry
data_Y5Re
_cell_length_a 8.725
_cell_length_b 8.725
_cell_length_c 8.725
_cell_angle_alpha 90.00
_cell_angle_beta 90.00
_cell_angle_gamma 90.00
_symmetry_space_group_name_H-M 'F -4 3 m'
_symmetry_Int_Tables_number 216
_symmetry_space_group_name_Hall 'F -4 2 3'
loop_
_atom_site_label
_atom_site_fract_x
_atom_site_fract_y
_atom_site_fract_z
_atom_site_occupancy
Y1 0.000 0.000 0.000 1
Y2 0.124 0.124 0.376 1
Re1 0.250 0.250 0.750 1
# D(E_F)	34.6	states/eV/cell
# ΔE_f	0.845	eV/atom
# offset from the most stable computed form	766.6	meV per atom

No. 18
# CePm6Nd5 GGA-PBE optimized geometry
data_CePm6Nd5
_cell_length_a 5.168
_cell_length_b 10.339
_cell_length_c 15.505
_cell_angle_alpha 90.00
_cell_angle_beta 90.00
_cell_angle_gamma 90.00
_symmetry_space_group_name_H-M 'I m m m'
_symmetry_Int_Tables_number 71
_symmetry_space_group_name_Hall '-I 2 2'
loop_
_atom_site_label
_atom_site_fract_x
_atom_site_fract_y
_atom_site_fract_z
_atom_site_occupancy
Ce1 0.000 0.000 0.000 1
Pm1 0.000 0.248 0.165 1
Pm2 0.000 0.254 0.500 1
Nd1 0.000 0.000 0.333 1
Nd2 0.000 0.500 0.000 1
Nd3 0.000 0.500 0.335 1
# D(E_F)	43.5	states/eV/cell
# ΔE_f	0.035	eV/atom

No. 19
# Na2SrMg2 GGA-PBE optimized geometry
data_Na2SrMg2
_cell_length_a 4.781
_cell_length_b 4.781
_cell_length_c 15.521
_cell_angle_alpha 90.00
_cell_angle_beta 90.00
_cell_angle_gamma 90.00
_symmetry_space_group_name_H-M 'I 4/m m m'
_symmetry_Int_Tables_number 139
_symmetry_space_group_name_Hall '-I 4 2'
loop_
_atom_site_label
_atom_site_fract_x
_atom_site_fract_y
_atom_site_fract_z
_atom_site_occupancy
Na1 0.000 0.500 0.250 1
Sr1 0.000 0.000 0.000 1
Mg1 0.000 0.000 0.404 1
# D(E_F)	7.4	states/eV/cell
# ΔE_f	0.091	eV/atom
# offset from the most stable computed form	0.0	meV per atom

No. 20
# Ga7Ir2Au2 GGA-PBE optimized geometry
data_Ga7Ir2Au2
_cell_length_a 7.739
_cell_length_b 9.029
_cell_length_c 5.969
_cell_angle_alpha 90.00
_cell_angle_beta 90.00
_cell_angle_gamma 90.00
_symmetry_space_group_name_H-M 'C m m m'
_symmetry_Int_Tables_number 65
_symmetry_space_group_name_Hall '-C 2 2'
loop_
_atom_site_label
_atom_site_fract_x
_atom_site_fract_y
_atom_site_fract_z
_atom_site_occupancy
Ga1 0.000 0.000 0.000 1
Ga2 0.000 0.500 0.257 1
Ga3 0.250 0.250 0.269 1
Ir1 0.000 0.274 0.000 1
Au1 0.189 0.000 0.500 1
# D(E_F)	6.1	states/eV/cell
# ΔE_f	-0.238	eV/atom